a:
Here is a PBEsol-optimized structure of BaNa2Nb from the Alexandria database. Energies are from meta-GGA SCAN.

## Properties
SG   No. 122
Calculated volume   144.73 Å³/f.u.
N(E_F)   4.17 states/eV per cell

Unit cell a=7.3740 b=7.3740 c=7.3740 alpha=101.97 beta=101.97 gamma=125.82
Atoms (fractional coordinates):
Ba  0.0000  0.0000  0.0000
Ba  0.7500  0.2500  0.5000
Na  0.1627  0.1250  0.5377
Na  0.3750  0.8373  0.9623
Na  0.5873  0.6250  0.4623
Na  0.8750  0.4127  0.0377
Nb  0.2500  0.7500  0.5000
Nb  0.5000  0.5000  0.0000

---

b:
Here is a PBEsol-optimized structure of BaNa2Nb from the Alexandria database. Energies are from meta-GGA SCAN.

## Properties
SG   No. 225
Calculated volume   131.42 Å³/f.u.
N(E_F)   2.24 states/eV per cell

Unit cell a=5.7067 b=5.7067 c=5.7067 alpha=60.00 beta=60.00 gamma=60.00
Atoms (fractional coordinates):
Ba  0.0000  0.0000  0.0000
Na  0.2500  0.2500  0.2500
Na  0.7500  0.7500  0.7500
Nb  0.5000  0.5000  0.5000

---

Energies relative to the minimum, meV per atom: a 127; b 0